No. 1
CoAg2W | PBE-GGA | relaxed

Summary:
E_form: 0.573 eV per atom
M_tot: 0.220 μB/atom

a b c (Å): 8.977 2.709 5.180
angles (deg): 90.00 98.24 90.00
Space group Cm (No. 8)
Inequivalent atoms, fractional coordinates:
Co 0.000 0.000 0.000 x2
Ag 0.001 0.500 0.537 x2
Ag 0.246 0.500 0.296 x2
W 0.257 0.000 0.824 x2

=====

No. 2
Sn4Pb3S8 | PBE-GGA | relaxed

Summary:
ΔE_f (raw): -633 kJ/mol of formula units
M_tot: 0.000 μB/atom

a b c (Å): 11.775 11.775 8.297
angles (deg): 90.00 134.78 90.00
Space group C2/m (No. 12)
Inequivalent atoms, fractional coordinates:
Sn 0.000 0.000 0.000 x2
Sn 0.000 0.000 0.500 x2
Sn 0.250 0.250 0.000 x4
Pb 0.000 0.500 0.000 x2
Pb 0.250 0.250 0.500 x4
S 0.000 0.223 0.500 x4
S 0.000 0.247 0.000 x4
S 0.220 0.000 0.495 x4
S 0.222 0.000 0.948 x4

=====

No. 3
CeNi3 | PBE-GGA | relaxed

Summary:
E_form: -0.317 eV per atom
M_tot: 0.000 μB/atom

a b c (Å): 5.4321 5.4321 4.5711
angles (deg): 90.00 90.00 120.00
Space group P6_3/mmc (No. 194)
Inequivalent atoms, fractional coordinates:
Ce 0.3333 0.6667 0.2500 x2
Ni 0.1535 0.3070 0.7500 x6

=====

No. 4
Zr2P2Se | PBE-GGA | relaxed

Summary:
ΔE_f (raw): -527 kJ/mol of formula units
M_tot: 0.000 μB/atom

a b c (Å): 7.282 7.282 3.508
angles (deg): 90.00 90.00 90.00
Space group P4/mbm (No. 127)
Inequivalent atoms, fractional coordinates:
Zr 0.162 0.338 0.000 x4
P 0.127 0.627 0.500 x4
Se 0.000 0.000 0.000 x2

=====

No. 5
LiAcGa4 | PBE-GGA | relaxed

Summary:
E_form: -0.476 eV per atom
M_tot: 0.000 μB/atom

a b c (Å): 4.4371 4.4371 7.4069
angles (deg): 90.00 90.00 120.00
Space group P6/mmm (No. 191)
Inequivalent atoms, fractional coordinates:
Li 0.0000 0.0000 0.0000 x1
Ac 0.0000 0.0000 0.5000 x1
Ga 0.3333 0.6667 0.2011 x4

=====

No. 6
IrRu3 | PBE-GGA | relaxed

Summary:
E_form: 0.336 eV per atom
M_tot: 0.000 μB/atom

a b c (Å): 4.876 4.876 4.876
angles (deg): 90.00 90.00 90.00
Space group Pm-3n (No. 223)
Inequivalent atoms, fractional coordinates:
Ir 0.000 0.000 0.000 x2
Ru 0.000 0.250 0.500 x6

=====

No. 7
PaPtPbAu | PBE-GGA | relaxed

Summary:
E_form: -0.460 eV per atom
M_tot: 0.000 μB/atom

a b c (Å): 7.058 7.058 7.058
angles (deg): 90.00 90.00 90.00
Space group F-43m (No. 216)
Inequivalent atoms, fractional coordinates:
Pa 0.000 0.000 0.000 x4
Pt 0.250 0.250 0.750 x4
Pb 0.000 0.000 0.500 x4
Au 0.250 0.250 0.250 x4

=====

No. 8
Dy5Ag2Pd2 | PBE-GGA | relaxed

Summary:
E_form: -0.506 eV per atom
M_tot: 0.000 μB/atom

a b c (Å): 15.542 7.419 7.783
angles (deg): 90.00 90.00 90.00
Space group Cmce (No. 64)
Inequivalent atoms, fractional coordinates:
Dy 0.000 0.000 0.000 x4
Dy 0.131 0.172 0.324 x16
Ag 0.211 0.000 0.000 x8
Pd 0.000 0.128 0.631 x8

=====

No. 9
Nd3BiO3 | PBE-GGA | relaxed

Summary:
ΔE_f (raw): -1707 kJ/mol of formula units
M_tot: 0.000 μB/atom

a b c (Å): 8.9301 8.9301 4.5439
angles (deg): 90.00 90.00 120.00
Space group P6_3/m (No. 176)
Inequivalent atoms, fractional coordinates:
Nd 0.0589 0.7357 0.2500 x6
Bi 0.3333 0.6667 0.7500 x2
O 0.0304 0.7915 0.7500 x6

=====

No. 10
LiZn12Au6 | PBE-GGA | relaxed

Summary:
E_form: -0.196 eV per atom
M_tot: 0.000 μB/atom

a b c (Å): 9.4872 9.4872 11.7240
angles (deg): 90.00 90.00 120.00
Space group R-3 (No. 148, hexagonal axes)
Inequivalent atoms, fractional coordinates:
Li 0.0000 0.0000 0.0000 x3
Zn 0.0445 0.8641 0.8127 x18
Zn 0.0544 0.2063 0.4107 x18
Au 0.0213 0.5964 0.7143 x18

=====

No. 11
NaPaHg2 | PBE-GGA | relaxed

Summary:
E_form: -0.003 eV per atom
M_tot: 0.257 μB/atom

a b c (Å): 3.255 3.255 9.203
angles (deg): 90.00 90.00 90.00
Space group P4/mmm (No. 123)
Inequivalent atoms, fractional coordinates:
Na 0.000 0.000 0.000 x1
Pa 0.000 0.000 0.500 x1
Hg 0.500 0.500 0.248 x2

=====

No. 12
Th4HgB3Rh12 | PBE-GGA | relaxed

Summary:
E_form: -0.638 eV per atom
M_tot: 0.000 μB/atom

a b c (Å): 8.837 8.837 8.837
angles (deg): 90.00 90.00 90.00
Space group Im-3m (No. 229)
Inequivalent atoms, fractional coordinates:
Th 0.250 0.250 0.250 x8
Hg 0.000 0.000 0.000 x2
B 0.000 0.000 0.500 x6
Rh 0.000 0.000 0.284 x12
Rh 0.000 0.250 0.500 x12

=====

No. 13
Si2AuC | PBE-GGA | relaxed

Summary:
ΔE_f (raw): 48 kJ/mol of formula units
M_tot: 0.000 μB/atom

a b c (Å): 3.1667 3.1667 6.6783
angles (deg): 90.00 90.00 120.00
Space group P3m1 (No. 156)
Inequivalent atoms, fractional coordinates:
Si 0.0000 0.0000 0.0000 x1
Si 0.3333 0.6667 0.6210 x1
Au 0.0000 0.0000 0.3692 x1
C 0.3333 0.6667 0.8987 x1